## A
FeAgPd3: relaxed, PBE.

## Properties
DOS at the Fermi energy: 0.804 states/eV/atom
spin magnetization: 7.635 μB per cell

Unit cell a=6.745 b=2.769 c=8.927 alpha=90.00 beta=110.44 gamma=90.00
Space group P2_1/m (No. 11)
Unique sites:
Fe 0.064 0.250 0.269 [2 per cell]
Ag 0.357 0.250 0.853 [2 per cell]
Pd 0.183 0.750 0.051 [2 per cell]
Pd 0.186 0.750 0.554 [2 per cell]
Pd 0.425 0.750 0.359 [2 per cell]

---

## B
FeAgPd3: relaxed, PBE.

## Properties
DOS at the Fermi energy: 0.627 states/eV/atom
spin magnetization: 8.089 μB per cell

Unit cell a=2.776 b=8.196 c=7.506 alpha=90.00 beta=90.00 gamma=90.00
Space group Pmmn (No. 59, origin choice 2)
Unique sites:
Fe 0.250 0.250 0.006 [2 per cell]
Ag 0.250 0.250 0.394 [2 per cell]
Pd 0.250 0.529 0.833 [4 per cell]
Pd 0.250 0.750 0.285 [2 per cell]

---

Preferred: A; penalty for the next structure: 0.070 eV/atom.

---

## A
Fe2AgPd: relaxed, PBE.

## Properties
DOS at the Fermi energy: 1.997 states/eV/atom
spin magnetization: 0.001 μB per cell

Unit cell a=6.012 b=6.012 c=6.012 alpha=90.00 beta=90.00 gamma=90.00
Space group Fm-3m (No. 225)
Unique sites:
Fe 0.250 0.250 0.250 [8 per cell]
Ag 0.000 0.000 0.000 [4 per cell]
Pd 0.000 0.000 0.500 [4 per cell]

---

## B
Fe2AgPd: relaxed, PBE.

## Properties
DOS at the Fermi energy: 0.875 states/eV/atom
spin magnetization: 26.550 μB per cell

Unit cell a=6.994 b=6.994 c=5.257 alpha=90.00 beta=90.00 gamma=90.00
Space group I-42d (No. 122)
Unique sites:
Fe 0.233 0.750 0.125 [8 per cell]
Ag 0.000 0.000 0.500 [4 per cell]
Pd 0.000 0.000 0.000 [4 per cell]

---

Preferred: B; penalty for the next structure: 0.207 eV/atom.

---

## A
FeAgPdPt: relaxed, PBE.

## Properties
DOS at the Fermi energy: 0.754 states/eV/atom
spin magnetization: 3.598 μB per cell

Unit cell a=2.811 b=2.811 c=7.741 alpha=90.00 beta=90.00 gamma=90.00
Space group P4mm (No. 99)
Unique sites:
Fe 0.000 0.000 0.000 [1 per cell]
Ag 0.000 0.000 0.499 [1 per cell]
Pd 0.500 0.500 0.226 [1 per cell]
Pt 0.500 0.500 0.776 [1 per cell]

---

## B
FeAgPdPt: relaxed, PBE.

## Properties
DOS at the Fermi energy: 0.794 states/eV/atom
spin magnetization: 15.692 μB per cell

Unit cell a=6.281 b=6.281 c=6.281 alpha=90.00 beta=90.00 gamma=90.00
Space group F-43m (No. 216)
Unique sites:
Fe 0.000 0.000 0.000 [4 per cell]
Ag 0.000 0.000 0.500 [4 per cell]
Pd 0.250 0.250 0.750 [4 per cell]
Pt 0.250 0.250 0.250 [4 per cell]

---

Preferred: A; penalty for the next structure: 0.127 eV/atom.

---

## A
SrFe2AgPd: relaxed, PBE.

## Properties
DOS at the Fermi energy: 0.798 states/eV/atom
spin magnetization: 5.119 μB per cell

Unit cell a=4.863 b=4.863 c=5.085 alpha=90.00 beta=90.00 gamma=90.00
Space group P4/mmm (No. 123)
Unique sites:
Sr 0.000 0.000 0.000 [1 per cell]
Fe 0.000 0.500 0.000 [2 per cell]
Ag 0.500 0.500 0.500 [1 per cell]
Pd 0.000 0.000 0.500 [1 per cell]

---

## B
SrFe2AgPd: relaxed, PBE.

## Properties
DOS at the Fermi energy: 1.746 states/eV/atom
spin magnetization: 6.607 μB per cell

Unit cell a=4.785 b=4.785 c=5.647 alpha=90.00 beta=90.00 gamma=90.00
Space group P4/mmm (No. 123)
Unique sites:
Sr 0.000 0.000 0.000 [1 per cell]
Fe 0.000 0.500 0.500 [2 per cell]
Ag 0.500 0.500 0.000 [1 per cell]
Pd 0.000 0.000 0.500 [1 per cell]

---

Preferred: B; penalty for the next structure: 1.079 eV/atom.

---

## A
FeAgPt: relaxed, PBE.

## Properties
DOS at the Fermi energy: 0.665 states/eV/atom
spin magnetization: 12.807 μB per cell

Unit cell a=2.764 b=16.214 c=4.094 alpha=90.00 beta=90.00 gamma=90.00
Space group Cmcm (No. 63)
Unique sites:
Fe 0.000 0.042 0.250 [4 per cell]
Ag 0.000 0.206 0.250 [4 per cell]
Pt 0.000 0.397 0.250 [4 per cell]

---

## B
FeAgPt: relaxed, PBE.

## Properties
DOS at the Fermi energy: 0.706 states/eV/atom
spin magnetization: 6.415 μB per cell

Unit cell a=2.800 b=4.773 c=7.446 alpha=75.34 beta=79.45 gamma=73.22
Space group P-1 (No. 2)
Unique sites:
Fe 0.176 0.223 0.424 [2 per cell]
Ag 0.164 0.761 0.913 [2 per cell]
Pt 0.499 0.285 0.717 [2 per cell]

---

## C
FeAgPt: relaxed, PBE.

## Properties
DOS at the Fermi energy: 1.106 states/eV/atom
spin magnetization: 5.760 μB per cell

Unit cell a=2.794 b=2.795 c=11.706 alpha=89.26 beta=89.18 gamma=89.17
Space group P-1 (No. 2)
Unique sites:
Fe 0.223 0.226 0.435 [2 per cell]
Ag 0.266 0.263 0.734 [2 per cell]
Pt 0.245 0.246 0.086 [2 per cell]

---

## D
FeAgPt: relaxed, PBE.

## Properties
DOS at the Fermi energy: 0.677 states/eV/atom
spin magnetization: 12.711 μB per cell

Unit cell a=12.058 b=2.776 c=5.608 alpha=90.00 beta=103.74 gamma=90.00
Space group C2/m (No. 12)
Unique sites:
Fe 0.000 0.000 0.000 [2 per cell]
Fe 0.000 0.000 0.500 [2 per cell]
Ag 0.164 0.500 0.329 [4 per cell]
Pt 0.151 0.500 0.830 [4 per cell]

---

Preferred: A; penalty for the next structure: 0.019 eV/atom.

---

## A
FeAgPt: relaxed, PBE.

## Properties
DOS at the Fermi energy: 0.722 states/eV/atom
spin magnetization: 6.658 μB per cell

Unit cell a=2.778 b=4.424 c=7.584 alpha=90.00 beta=100.36 gamma=90.00
Space group P2_1/m (No. 11)
Unique sites:
Fe 0.052 0.250 0.102 [2 per cell]
Ag 0.282 0.750 0.567 [2 per cell]
Pt 0.404 0.250 0.802 [2 per cell]

---

## B
FeAgPt: relaxed, PBE.

## Properties
DOS at the Fermi energy: 0.921 states/eV/atom
spin magnetization: 3.181 μB per cell

Unit cell a=2.7851 b=2.7851 c=6.8531 alpha=90.00 beta=90.00 gamma=120.00
Space group P3m1 (No. 156)
Unique sites:
Fe 0.0000 0.0000 0.0000 [1 per cell]
Ag 0.3333 0.6667 0.6661 [1 per cell]
Pt 0.6667 0.3333 0.3036 [1 per cell]

---

Preferred: A; penalty for the next structure: 0.086 eV/atom.

---

## A
FeAgPt: relaxed, PBE.

## Properties
DOS at the Fermi energy: 0.828 states/eV/atom
spin magnetization: 12.587 μB per cell

Unit cell a=9.185 b=2.789 c=7.911 alpha=90.00 beta=114.20 gamma=90.00
Space group Cm (No. 8)
Unique sites:
Fe 0.000 0.000 0.000 [2 per cell]
Fe 0.143 0.500 0.278 [2 per cell]
Ag 0.150 0.500 0.796 [2 per cell]
Ag 0.324 0.000 0.628 [2 per cell]
Pt 0.315 0.000 0.128 [2 per cell]
Pt 0.491 0.500 0.446 [2 per cell]

---

## B
FeAgPt: relaxed, PBE.

## Properties
DOS at the Fermi energy: 1.053 states/eV/atom
spin magnetization: 14.318 μB per cell

Unit cell a=5.950 b=5.950 c=5.950 alpha=90.00 beta=90.00 gamma=90.00
Space group F-43m (No. 216)
Unique sites:
Fe 0.000 0.000 0.000 [4 per cell]
Ag 0.250 0.250 0.750 [4 per cell]
Pt 0.250 0.250 0.250 [4 per cell]

---

Preferred: A; penalty for the next structure: 0.288 eV/atom.

---

## A
FeAgPt: relaxed, PBE.

## Properties
DOS at the Fermi energy: 0.637 states/eV/atom
spin magnetization: 6.806 μB per cell

Unit cell a=2.796 b=3.812 c=8.635 alpha=90.00 beta=90.00 gamma=90.00
Space group Imm2 (No. 44)
Unique sites:
Fe 0.000 0.000 0.000 [2 per cell]
Ag 0.000 0.000 0.325 [2 per cell]
Pt 0.000 0.000 0.644 [2 per cell]

---

## B
FeAgPt: relaxed, PBE.

## Properties
DOS at the Fermi energy: 0.725 states/eV/atom
spin magnetization: 12.526 μB per cell

Unit cell a=9.406 b=2.790 c=7.579 alpha=90.00 beta=113.66 gamma=90.00
Space group Cm (No. 8)
Unique sites:
Fe 0.000 0.000 0.000 [2 per cell]
Fe 0.128 0.500 0.830 [2 per cell]
Ag 0.157 0.500 0.326 [2 per cell]
Ag 0.312 0.000 0.686 [2 per cell]
Pt 0.322 0.000 0.130 [2 per cell]
Pt 0.484 0.500 0.505 [2 per cell]

---

Preferred: A; penalty for the next structure: 0.010 eV/atom.

---

## A
Zr2FeAgPt: relaxed, PBE.

## Properties
DOS at the Fermi energy: 1.498 states/eV/atom
spin magnetization: 0.184 μB per cell

Unit cell a=5.052 b=5.052 c=4.449 alpha=90.00 beta=90.00 gamma=90.00
Space group P4/mmm (No. 123)
Unique sites:
Zr 0.000 0.500 0.000 [2 per cell]
Fe 0.000 0.000 0.500 [1 per cell]
Ag 0.000 0.000 0.000 [1 per cell]
Pt 0.500 0.500 0.500 [1 per cell]

---

## B
Zr2FeAgPt: relaxed, PBE.

## Properties
DOS at the Fermi energy: 1.499 states/eV/atom
spin magnetization: 2.214 μB per cell

Unit cell a=5.025 b=5.025 c=5.032 alpha=90.00 beta=90.00 gamma=90.00
Space group P4/mmm (No. 123)
Unique sites:
Zr 0.000 0.500 0.000 [2 per cell]
Fe 0.000 0.000 0.500 [1 per cell]
Ag 0.500 0.500 0.500 [1 per cell]
Pt 0.500 0.500 0.000 [1 per cell]

---

Preferred: B; penalty for the next structure: 0.491 eV/atom.

---

## A
RbFeAg2: relaxed, PBE.

## Properties
DOS at the Fermi energy: 1.866 states/eV/atom
spin magnetization: 12.949 μB per cell

Unit cell a=7.316 b=7.316 c=7.316 alpha=90.00 beta=90.00 gamma=90.00
Space group Fm-3m (No. 225)
Unique sites:
Rb 0.000 0.000 0.000 [4 per cell]
Fe 0.000 0.000 0.500 [4 per cell]
Ag 0.250 0.250 0.250 [8 per cell]

---

## B
RbFeAg2: relaxed, PBE.

## Properties
DOS at the Fermi energy: 1.623 states/eV/atom
spin magnetization: 11.672 μB per cell

Unit cell a=5.485 b=5.485 c=17.583 alpha=90.00 beta=90.00 gamma=90.00
Space group I4_1/amd (No. 141, origin choice 2)
Unique sites:
Rb 0.000 0.250 0.375 [4 per cell]
Fe 0.000 0.250 0.875 [4 per cell]
Ag 0.000 0.000 0.000 [8 per cell]

---

Preferred: B; penalty for the next structure: 0.245 eV/atom.

---

## A
RbFe3Ag: relaxed, PBE.

## Properties
DOS at the Fermi energy: 1.742 states/eV/atom
spin magnetization: 9.842 μB per cell

Unit cell a=5.006 b=5.006 c=5.006 alpha=90.00 beta=90.00 gamma=90.00
Space group Pm-3m (No. 221)
Unique sites:
Rb 0.000 0.000 0.000 [1 per cell]
Fe 0.000 0.500 0.500 [3 per cell]
Ag 0.500 0.500 0.500 [1 per cell]

---

## B
RbFe3Ag: relaxed, PBE.

## Properties
DOS at the Fermi energy: 1.061 states/eV/atom
spin magnetization: 7.856 μB per cell

Unit cell a=4.650 b=4.650 c=4.650 alpha=90.00 beta=90.00 gamma=90.00
Space group Pm-3m (No. 221)
Unique sites:
Rb 0.000 0.000 0.000 [1 per cell]
Fe 0.000 0.000 0.500 [3 per cell]
Ag 0.500 0.500 0.500 [1 per cell]

---

Preferred: A; penalty for the next structure: 1.087 eV/atom.

---

## A
Fe2ReAg: relaxed, PBE.

## Properties
DOS at the Fermi energy: 1.038 states/eV/atom
spin magnetization: 3.822 μB per cell

Unit cell a=2.687 b=2.687 c=7.733 alpha=90.00 beta=90.00 gamma=90.00
Space group P4/mmm (No. 123)
Unique sites:
Fe 0.000 0.000 0.232 [2 per cell]
Re 0.500 0.500 0.000 [1 per cell]
Ag 0.500 0.500 0.500 [1 per cell]

---

## B
Fe2ReAg: relaxed, PBE.

## Properties
DOS at the Fermi energy: 1.095 states/eV/atom
spin magnetization: 5.328 μB per cell

Unit cell a=2.767 b=4.470 c=4.656 alpha=90.00 beta=90.00 gamma=90.00
Space group Pmmm (No. 47)
Unique sites:
Fe 0.000 0.000 0.000 [1 per cell]
Fe 0.500 0.000 0.500 [1 per cell]
Re 0.000 0.500 0.500 [1 per cell]
Ag 0.500 0.500 0.000 [1 per cell]

---

Preferred: A; penalty for the next structure: 0.332 eV/atom.